# Ce2Pm2Th15 | Alexandria via LeMat-Bulk | PBE | relaxed
data_Ce2Pm2Th15
_space_group_name_H-M_alt 'R -3 m'
_space_group_IT_number 166
_space_group_name_Hall '-R 3 2"'
_cell_length_a 11.4210
_cell_length_b 11.4210
_cell_length_c 17.2462
_cell_angle_alpha 90.00
_cell_angle_beta 90.00
_cell_angle_gamma 120.00
loop_
_atom_site_label
_atom_site_type_symbol
_atom_site_fract_x
_atom_site_fract_y
_atom_site_fract_z
_atom_site_occupancy
Ce1 Ce 0.0000 0.0000 0.0826 1
Pm1 Pm 0.0000 0.0000 0.3191 1
Th1 Th 0.0000 0.3019 0.0000 1
Th2 Th 0.0000 0.5000 0.5000 1
Th3 Th 0.0042 0.5021 0.1529 1
# density	10.36	g/cm3
# final energy	-382.17	eV per cell

***

# HgIrRh4 | Alexandria via LeMat-Bulk | PBE | relaxed
data_HgIrRh4
_space_group_name_H-M_alt 'F -4 3 m'
_space_group_IT_number 216
_space_group_name_Hall 'F -4 2 3'
_cell_length_a 7.2737
_cell_length_b 7.2737
_cell_length_c 7.2737
_cell_angle_alpha 90.00
_cell_angle_beta 90.00
_cell_angle_gamma 90.00
loop_
_atom_site_label
_atom_site_type_symbol
_atom_site_fract_x
_atom_site_fract_y
_atom_site_fract_z
_atom_site_occupancy
Hg1 Hg 0.0000 0.0000 0.0000 1
Ir1 Ir 0.2500 0.2500 0.2500 1
Rh1 Rh 0.1248 0.1248 0.6248 1
# density	13.88	g/cm3
# final energy	-141.94	eV per cell

***

# Tb5PrDyEr2 | Alexandria via LeMat-Bulk | PBE | relaxed
data_Tb5PrDyEr2
_space_group_name_H-M_alt 'C m c 21'
_space_group_IT_number 36
_cell_length_a 5.6003
_cell_length_b 19.8863
_cell_length_c 10.6665
_cell_angle_alpha 90.00
_cell_angle_beta 90.00
_cell_angle_gamma 90.00
loop_
_space_group_symop_operation_xyz
'x,y,z'
'-x,-y,z+1/2'
'-x,y,z'
'x,-y,z+1/2'
'x+1/2,y+1/2,z'
'-x+1/2,-y+1/2,z+1/2'
'-x+1/2,y+1/2,z'
'x+1/2,-y+1/2,z+1/2'
loop_
_atom_site_label
_atom_site_type_symbol
_atom_site_fract_x
_atom_site_fract_y
_atom_site_fract_z
_atom_site_occupancy
Tb1 Tb 0.0000 0.0176 0.0000 1
Tb2 Tb 0.0000 0.2827 0.2782 1
Tb3 Tb 0.0000 0.2994 0.6795 1
Tb4 Tb 0.0000 0.3947 0.9979 1
Tb5 Tb 0.0000 0.4782 0.7115 1
Pr1 Pr 0.0000 0.2027 0.9831 1
Dy1 Dy 0.0000 0.4144 0.4280 1
Er1 Er 0.0000 0.1082 0.7113 1
Er2 Er 0.0000 0.1145 0.2932 1
# density	8.01	g/cm3
# final energy	-161.06	eV per cell

***

# Tm4PtAuSe2 | Alexandria via LeMat-Bulk | PBE | relaxed
data_Tm4PtAuSe2
_space_group_name_H-M_alt 'P 1 2/m 1'
_space_group_IT_number 10
_cell_length_a 6.8553
_cell_length_b 3.9359
_cell_length_c 7.4864
_cell_angle_alpha 90.00
_cell_angle_beta 107.60
_cell_angle_gamma 90.00
loop_
_space_group_symop_operation_xyz
'x,y,z'
'-x,-y,-z'
'-x,y,-z'
'x,-y,z'
loop_
_atom_site_label
_atom_site_type_symbol
_atom_site_fract_x
_atom_site_fract_y
_atom_site_fract_z
_atom_site_occupancy
Tm1 Tm 0.2388 0.0000 0.2361 1
Tm2 Tm 0.2448 0.5000 0.7580 1
Pt1 Pt 0.0000 0.5000 0.0000 1
Au1 Au 0.5000 0.0000 0.0000 1
Se1 Se 0.0000 0.0000 0.5000 1
Se2 Se 0.5000 0.5000 0.5000 1
# density	10.57	g/cm3
# final energy	-45.06	eV per cell
# formation energy without anion corrections	-1361.1	meV/atom

***

# Ca2Se | Alexandria via LeMat-Bulk | PBE | relaxed
data_Ca2Se
_space_group_name_H-M_alt 'P -3 m 1'
_space_group_IT_number 164
_space_group_name_Hall '-P 3 2"'
_cell_length_a 4.1089
_cell_length_b 4.1089
_cell_length_c 6.7837
_cell_angle_alpha 90.00
_cell_angle_beta 90.00
_cell_angle_gamma 120.00
loop_
_atom_site_label
_atom_site_type_symbol
_atom_site_fract_x
_atom_site_fract_y
_atom_site_fract_z
_atom_site_occupancy
Ca1 Ca 0.3333 0.6667 0.2606 1
Se1 Se 0.0000 0.0000 0.0000 1
# density	2.66	g/cm3
# final energy	-11.24	eV per cell
# formation energy without anion corrections	-1249.1	meV/atom

***

# La3AlBi | Alexandria via LeMat-Bulk | PBE | relaxed
data_La3AlBi
_space_group_name_H-M_alt 'P m -3 m'
_space_group_IT_number 221
_space_group_name_Hall '-P 4 2 3'
_cell_length_a 5.7349
_cell_length_b 5.7349
_cell_length_c 5.7349
_cell_angle_alpha 90.00
_cell_angle_beta 90.00
_cell_angle_gamma 90.00
loop_
_atom_site_label
_atom_site_type_symbol
_atom_site_fract_x
_atom_site_fract_y
_atom_site_fract_z
_atom_site_occupancy
La1 La 0.0000 0.0000 0.5000 1
Al1 Al 0.0000 0.0000 0.0000 1
Bi1 Bi 0.5000 0.5000 0.5000 1
# density	5.75	g/cm3
# energy above the lowest structure with this stoichiometry	0.000	eV/atom
# final energy	-23.15	eV per cell

***

In the order shown, the computed total moment values come out to 0.0 10.3 0.0 0.0 0.0 0.0 μB/cell.